# ZnPtCl2 | the Alexandria database | PBE-GGA | optimized geometry
# Total moment in μB/f.u.: 0.00
# E above lowest polymorph in kJ/mol of formula units: 152
# Energy relative to the elements, uncorrected in eV per atom: -0.014
# Crystal system: orthorhombic
data_ZnPtCl2
_space_group_name_H-M_alt 'F m m m'
_space_group_IT_number 69
_space_group_name_Hall '-F 2 2'
_cell_length_a 6.237
_cell_length_b 7.098
_cell_length_c 7.163
_cell_angle_alpha 90.00
_cell_angle_beta 90.00
_cell_angle_gamma 90.00
loop_
_atom_site_label
_atom_site_fract_x
_atom_site_fract_y
_atom_site_fract_z
Zn1 0.000 0.000 0.000
Pt1 0.000 0.000 0.500
Cl1 0.000 0.250 0.250